Record 1
The following is a SCAN calculation of a crystal of YHPd3 relaxed with PBEsol, from Alexandria via LeMat-Bulk.

* ΔE to the lowest computed polymorph: 0.059 eV per atom

Cell lengths 4.0949, 4.0949, 4.0949 Å; angles 90.00, 90.00, 90.00 degrees
Element x y z (fractional)
Y  0.0000  0.0000  0.0000
H  0.5000  0.5000  0.5000
Pd  0.0000  0.5000  0.5000
Pd  0.5000  0.0000  0.5000
Pd  0.5000  0.5000  0.0000


Record 2
The following is a SCAN calculation of a crystal of Y2H2Pd relaxed with PBEsol, from Alexandria via LeMat-Bulk.

* electronic total energy: -19.935 eV/atom

Cell lengths 6.6403, 6.6403, 6.6403 Å; angles 149.51, 149.51, 43.66 degrees
Element x y z (fractional)
Y  0.1407  0.1407  0.0000
Y  0.8593  0.8593  0.0000
H  0.2500  0.7500  0.5000
H  0.7500  0.2500  0.5000
Pd  0.5000  0.5000  0.0000


Record 3
The following is a SCAN calculation of a crystal of YH3Pd relaxed with PBEsol, from Alexandria via LeMat-Bulk.

* electronic total energy: -14.146 eV/atom

Cell lengths 3.9243, 3.9243, 3.9243 Å; angles 90.00, 90.00, 90.00 degrees
Element x y z (fractional)
Y  0.0000  0.0000  0.0000
H  0.0000  0.0000  0.5000
H  0.0000  0.5000  0.0000
H  0.5000  0.0000  0.0000
Pd  0.5000  0.5000  0.5000


Record 4
The following is a SCAN calculation of a crystal of YH3Pd relaxed with PBEsol, from Alexandria via LeMat-Bulk.

* electronic total energy: -14.733 eV/atom

Cell lengths 3.6536, 3.6536, 3.6536 Å; angles 90.00, 90.00, 90.00 degrees
Element x y z (fractional)
Y  0.0000  0.0000  0.0000
H  0.0000  0.5000  0.5000
H  0.5000  0.0000  0.5000
H  0.5000  0.5000  0.0000
Pd  0.5000  0.5000  0.5000


Record 5
The following is a SCAN calculation of a crystal of ZnHPd3 relaxed with PBEsol, from Alexandria via LeMat-Bulk.

* electronic total energy: -23.369 eV/atom

Cell lengths 5.5145, 5.5145, 5.5145 Å; angles 119.98, 90.26, 119.73 degrees
Element x y z (fractional)
Zn  0.2499  0.9999  0.2500
Zn  0.7501  0.0001  0.7500
H  0.0000  0.5000  0.5000
H  0.5000  0.5000  0.0000
Pd  0.2374  0.0000  0.7374
Pd  0.2374  0.5000  0.2374
Pd  0.2750  0.5250  0.7500
Pd  0.7250  0.4750  0.2500
Pd  0.7626  0.0000  0.2626
Pd  0.7626  0.5000  0.7626


Record 6
The following is a SCAN calculation of a crystal of ZnHPd3 relaxed with PBEsol, from Alexandria via LeMat-Bulk.

* electronic total energy: -23.367 eV/atom

Cell lengths 3.9018, 3.9018, 3.9018 Å; angles 90.00, 90.00, 90.00 degrees
Element x y z (fractional)
Zn  0.0000  0.0000  0.0000
H  0.5000  0.5000  0.5000
Pd  0.0000  0.5000  0.5000
Pd  0.5000  0.0000  0.5000
Pd  0.5000  0.5000  0.0000